No. 1
## BaSi2Pb (PBE-GGA)

Data for a relaxed structure of BaSi2Pb.

a b c (Å): 4.8618 4.8618 4.5337
angles (deg): 90.00 90.00 90.00
Space group P4/mmm (No. 123)
Unique sites:
Ba1 0.0000 0.0000 0.0000 (multiplicity 1)
Si1 0.0000 0.5000 0.5000 (multiplicity 2)
Pb1 0.5000 0.5000 0.0000 (multiplicity 1)

Summary:
**N(E_F)**: 0.536 states/eV/atom
**Calculated volume**: 26.8 Å³ per atom
**Formation energy (no corrections)**: 0.198 eV/atom
**Total energy**: -15.69 eV/cell
**Size of the total moment**: 0.00 μB/f.u.



No. 2
## Ba4SiPb (PBE-GGA)

Data for a relaxed structure of Ba4SiPb.

a b c (Å): 10.0152 10.0152 10.0152
angles (deg): 90.00 90.00 90.00
Space group F-43m (No. 216)
Unique sites:
Ba1 0.1254 0.1254 0.1254 (multiplicity 16)
Si1 0.0000 0.0000 0.5000 (multiplicity 4)
Pb1 0.2500 0.2500 0.7500 (multiplicity 4)

Summary:
**N(E_F)**: 1.160 states/eV/atom
**Calculated volume**: 41.9 Å³ per atom
**Formation energy (no corrections)**: 0.438 eV/atom
**Total energy**: -56.79 eV/cell
**Size of the total moment**: 0.00 μB/f.u.



No. 3
## Ba3SiPb (PBE-GGA)

Data for a relaxed structure of Ba3SiPb.

a b c (Å): 27.2296 4.1907 7.3969
angles (deg): 90.00 96.63 90.00
Space group C2/m (No. 12)
Unique sites:
Ba1 0.9995 0.0000 0.2365 (multiplicity 4)
Ba2 0.1415 0.5000 0.5566 (multiplicity 4)
Ba3 0.1948 0.0000 0.1167 (multiplicity 4)
Si1 0.2378 0.0000 0.5769 (multiplicity 4)
Pb1 0.0902 0.5000 0.0392 (multiplicity 4)

Summary:
**N(E_F)**: 0.526 states/eV/atom
**ΔE to the lowest computed polymorph**: 0.0 meV per atom
**Calculated volume**: 41.9 Å³ per atom
**Formation energy (no corrections)**: -0.360 eV/atom
**Total energy**: -66.80 eV/cell
**Size of the total moment**: 0.53 μB/f.u.



No. 4
## BaSiPb (PBE-GGA)

Data for a relaxed structure of BaSiPb.

a b c (Å): 7.6671 7.6671 7.6671
angles (deg): 90.00 90.00 90.00
Space group F-43m (No. 216)
Unique sites:
Ba1 0.0000 0.0000 0.0000 (multiplicity 4)
Si1 0.2500 0.2500 0.7500 (multiplicity 4)
Pb1 0.2500 0.2500 0.2500 (multiplicity 4)

Summary:
**N(E_F)**: 0.690 states/eV/atom
**ΔE to the lowest computed polymorph**: 723.8 meV per atom
**Calculated volume**: 37.6 Å³ per atom
**Formation energy (no corrections)**: 0.405 eV/atom
**Total energy**: -39.36 eV/cell
**Size of the total moment**: 0.00 μB/f.u.